VASP calculation (PBE) on CaLaH3 after structural relaxation.

Cell lengths 4.233, 4.233, 4.233 Å; angles 90.00, 90.00, 90.00 degrees
Sites, in units of the cell vectors:
La (0.500, 0.500, 0.500)
Ca (0.000, 0.000, 0.000)
H (0.500, 0.000, 0.000)
H (0.000, 0.500, 0.000)
H (0.000, 0.000, 0.500)

Computed properties:
* total moment: 0.00 μB per formula unit
* space-group type: No. 221
* calculated total energy: -0.2678 Ry/atom
* crystal system: cubic